# 1
First-principles (GGA-PBE) data for crystalline YCo2W at its relaxed geometry, as listed in Alexandria via LeMat-Bulk.

The structure in POSCAR format:
```
YCo2W
1.0
3.053 0.000 0.000
0.000 3.060 0.000
0.000 3.063 6.857
Co W Y
2 1 1
direct
0.000 0.942 0.058 Co
0.000 0.558 0.442 Co
0.500 0.250 0.250 W
0.500 0.750 0.750 Y
```

**Energy relative to the lowest polymorph listed for this composition**: 44.2 meV/atom
**Formation energy from the elements**: 0.065 eV per atom
**DOS(E_F)**: 3.6 states/eV per cell

# 2
First-principles (GGA-PBE) data for crystalline Y2CoW at its relaxed geometry, as listed in Alexandria via LeMat-Bulk.

The structure in POSCAR format:
```
Y2CoW
1.0
5.718 -0.005 0.000
2.825 4.971 0.000
-4.271 -2.483 2.878
Co W Y
1 1 2
direct
0.500 0.500 0.000 Co
0.250 0.750 0.500 W
0.000 0.000 0.000 Y
0.750 0.250 0.500 Y
```

**Energy relative to the lowest polymorph listed for this composition**: 484.6 meV/atom
**Formation energy from the elements**: 0.628 eV per atom
**DOS(E_F)**: 5.7 states/eV per cell

# 3
First-principles (GGA-PBE) data for crystalline YCo2W at its relaxed geometry, as listed in Alexandria via LeMat-Bulk.

The structure in POSCAR format:
```
YCo2W
1.0
3.100 -0.008 0.000
0.009 3.100 0.000
0.000 0.000 6.801
Co W Y
2 1 1
direct
0.000 0.000 0.072 Co
0.500 0.500 0.232 Co
0.000 0.000 0.433 W
0.500 0.500 0.763 Y
```

**Energy relative to the lowest polymorph listed for this composition**: 273.6 meV/atom
**Formation energy from the elements**: 0.295 eV per atom
**DOS(E_F)**: 4.6 states/eV per cell